(1)
A plane-wave DFT calculation with PBE was carried out for a relaxed structure of InPd12Pt7.

Calculated values
V ... 330.0 Å³/cell
E_tot ... -5.2763 eV/atom
Formation energy from the elements ... 175 kJ/mol of formula units

Cell: 6.9177 6.9177 6.9177 Å, 87.32 87.32 87.32°
Element x y z (fractional)
In 0.0000 0.0000 0.0000
Pd 0.1372 0.7221 0.2518
Pd 0.1417 0.5090 0.6232
Pd 0.2518 0.1372 0.7221
Pd 0.2779 0.7482 0.8628
Pd 0.3768 0.8583 0.4910
Pd 0.4910 0.3768 0.8583
Pd 0.5090 0.6232 0.1417
Pd 0.6232 0.1417 0.5090
Pd 0.7221 0.2518 0.1372
Pd 0.7482 0.8628 0.2779
Pd 0.8583 0.4910 0.3768
Pd 0.8628 0.2779 0.7482
Pt 0.0565 0.1409 0.3773
Pt 0.1409 0.3773 0.0565
Pt 0.3773 0.0565 0.1409
Pt 0.5000 0.5000 0.5000
Pt 0.6227 0.9435 0.8591
Pt 0.8591 0.6227 0.9435
Pt 0.9435 0.8591 0.6227

(2)
A plane-wave DFT calculation with PBE was carried out for a relaxed structure of Ta2MoW.

Calculated values
V ... 69.5 Å³/cell
E_tot ... -11.6762 eV/atom
Formation energy from the elements ... 76 kJ/mol of formula units

Cell: 4.8570 4.8570 5.5001 Å, 90.22 90.22 32.38°
Element x y z (fractional)
Ta 0.2479 0.2479 0.2498
Ta 0.7521 0.7521 0.7502
Mo 0.0000 0.0000 0.0000
W 0.5000 0.5000 0.5000

(3)
A plane-wave DFT calculation with PBE was carried out for a relaxed structure of ZrN2.

Calculated values
V ... 35.8 Å³/cell
E_tot ... -8.6368 eV/atom
E_form (uncorrected) ... -0.237 eV per atom

Cell: 3.8264 3.8264 3.8264 Å, 125.47 125.47 80.76°
Element x y z (fractional)
Zr 0.0000 0.0000 0.0000
N 0.2500 0.7500 0.5000
N 0.7500 0.2500 0.5000

(4)
A plane-wave DFT calculation with PBE was carried out for a relaxed structure of Sm9Tm4In11.

Calculated values
V ... 667.0 Å³/cell
E_tot ... -4.1652 eV/atom
Formation energy from the elements ... -915 kJ/mol of formula units

Cell: 13.9091 13.9091 3.4973 Å, 90.00 90.00 99.64°
Element x y z (fractional)
Sm 0.0000 0.0000 0.0000
Sm 0.1261 0.6428 0.0000
Sm 0.2912 0.4648 0.0000
Sm 0.3572 0.8739 0.0000
Sm 0.4648 0.2912 0.0000
Sm 0.5352 0.7088 0.0000
Sm 0.6428 0.1261 0.0000
Sm 0.7088 0.5352 0.0000
Sm 0.8739 0.3572 0.0000
Tm 0.0680 0.2359 0.0000
Tm 0.2359 0.0680 0.0000
Tm 0.7641 0.9320 0.0000
Tm 0.9320 0.7641 0.0000
In 0.0793 0.4314 0.5000
In 0.1355 0.8645 0.5000
In 0.2609 0.2609 0.5000
In 0.3329 0.6671 0.5000
In 0.4314 0.0793 0.5000
In 0.5000 0.5000 0.5000
In 0.5686 0.9207 0.5000
In 0.6671 0.3329 0.5000
In 0.7391 0.7391 0.5000
In 0.8645 0.1355 0.5000
In 0.9207 0.5686 0.5000

(5)
A plane-wave DFT calculation with PBE was carried out for a relaxed structure of Li2InOs.

Calculated values
V ... 64.2 Å³/cell
E_tot ... -4.2576 eV/atom
Formation energy from the elements ... 74 kJ/mol of formula units

Cell: 4.8513 4.8513 5.1830 Å, 95.03 95.03 31.89°
Element x y z (fractional)
Li 0.0000 0.0000 0.0000
Li 0.2392 0.2392 0.7588
In 0.4915 0.4915 0.4859
Os 0.7439 0.7439 0.2396

(6)
A plane-wave DFT calculation with PBE was carried out for a relaxed structure of SiRu2W.

Calculated values
V ... 56.7 Å³/cell
E_tot ... -9.2574 eV/atom
E_form (uncorrected) ... -0.025 eV per atom

Cell: 4.4207 4.4207 2.9032 Å, 90.00 90.00 90.00°
Element x y z (fractional)
Si 0.0000 0.0000 0.0000
Ru 0.0000 0.5000 0.5000
Ru 0.5000 0.0000 0.5000
W 0.5000 0.5000 0.0000

(7)
A plane-wave DFT calculation with PBE was carried out for a relaxed structure of TlHg2Au.

Calculated values
V ... 108.6 Å³/cell
E_tot ... -1.5429 eV/atom
Polymorph energy (0 for the lowest one) ... 0.042 eV/atom
Formation energy from the elements ... 7 kJ/mol of formula units

Cell: 4.5759 4.7197 5.1797 Å, 90.00 103.81 90.00°
Element x y z (fractional)
Tl 0.0000 0.0000 0.0000
Hg 0.2929 0.5000 0.7202
Hg 0.7071 0.5000 0.2798
Au 0.5000 0.0000 0.5000

(8)
A plane-wave DFT calculation with PBE was carried out for a relaxed structure of MoIrRu.

Calculated values
V ... 44.8 Å³/cell
E_tot ... -9.6431 eV/atom
Polymorph energy (0 for the lowest one) ... 0.189 eV/atom
Formation energy from the elements ... 4 kJ/mol of formula units

Cell: 4.3449 4.3449 2.7395 Å, 90.00 90.00 120.00°
Element x y z (fractional)
Mo 0.0000 0.0000 0.0000
Ir 0.3333 0.6667 0.5000
Ru 0.6667 0.3333 0.0000

(9)
A plane-wave DFT calculation with PBE was carried out for a relaxed structure of NdNb2Ni9.

Calculated values
V ... 161.6 Å³/cell
E_tot ... -6.6486 eV/atom
Formation energy from the elements ... -274 kJ/mol of formula units

Cell: 8.3797 8.3797 8.3797 Å, 33.72 33.72 33.72°
Element x y z (fractional)
Nd 0.0000 0.0000 0.0000
Nb 0.1432 0.1432 0.1432
Nb 0.8568 0.8568 0.8568
Ni 0.0821 0.5898 0.5898
Ni 0.3335 0.3335 0.3335
Ni 0.4102 0.4102 0.9179
Ni 0.4102 0.9179 0.4102
Ni 0.5000 0.5000 0.5000
Ni 0.5898 0.0821 0.5898
Ni 0.5898 0.5898 0.0821
Ni 0.6665 0.6665 0.6665
Ni 0.9179 0.4103 0.4102

(10)
A plane-wave DFT calculation with PBE was carried out for a relaxed structure of Sr2MnRe.

Calculated values
V ... 98.1 Å³/cell
E_tot ... -4.9796 eV/atom
Polymorph energy (0 for the lowest one) ... 0.885 eV/atom
Formation energy from the elements ... 488 kJ/mol of formula units

Cell: 5.3317 5.3317 6.4935 Å, 94.13 94.13 32.20°
Element x y z (fractional)
Sr 0.2424 0.2424 0.2427
Sr 0.7576 0.7576 0.7573
Mn 0.0000 0.0000 0.5000
Re 0.5000 0.5000 0.0000

(11)
A plane-wave DFT calculation with PBE was carried out for a relaxed structure of Tb2NdSm6Y.

Calculated values
V ... 677.8 Å³/cell
E_tot ... -4.7635 eV/atom
Formation energy from the elements ... 113 kJ/mol of formula units

Cell: 8.9268 8.9268 9.7460 Å, 94.14 94.14 118.18°
Element x y z (fractional)
Tb 0.1940 0.2972 0.0435
Tb 0.2972 0.1940 0.5435
Tb 0.7028 0.8060 0.4565
Tb 0.8060 0.7028 0.9565
Nd 0.4067 0.5933 0.7500
Nd 0.5933 0.4067 0.2500
Sm 0.0223 0.5707 0.1841
Sm 0.1195 0.7545 0.5551
Sm 0.2455 0.8805 0.9449
Sm 0.2914 0.5022 0.3789
Sm 0.4293 0.9777 0.3159
Sm 0.4978 0.7086 0.1211
Sm 0.5022 0.2914 0.8789
Sm 0.5707 0.0223 0.6841
Sm 0.7086 0.4978 0.6211
Sm 0.7545 0.1195 0.0551
Sm 0.8805 0.2455 0.4449
Sm 0.9777 0.4293 0.8159
Y 0.0246 0.9754 0.2500
Y 0.9754 0.0246 0.7500

(12)
A plane-wave DFT calculation with PBE was carried out for a relaxed structure of Sc2Al15Ga2.

Calculated values
V ... 355.9 Å³/cell
E_tot ... -3.9670 eV/atom
Formation energy from the elements ... -50 kJ/mol of formula units

Cell: 7.1208 7.1208 7.1208 Å, 84.23 84.23 84.23°
Element x y z (fractional)
Sc 0.1138 0.1138 0.1138
Sc 0.8862 0.8862 0.8862
Al 0.0000 0.0000 0.5000
Al 0.0000 0.2827 0.7173
Al 0.0000 0.5000 0.0000
Al 0.0000 0.7173 0.2827
Al 0.1474 0.6347 0.6347
Al 0.2827 0.0000 0.7173
Al 0.2827 0.7173 0.0000
Al 0.3653 0.3653 0.8526
Al 0.3653 0.8526 0.3653
Al 0.5000 0.0000 0.0000
Al 0.6347 0.1474 0.6347
Al 0.6347 0.6347 0.1474
Al 0.7173 0.0000 0.2827
Al 0.7173 0.2827 0.0000
Al 0.8526 0.3653 0.3653
Ga 0.3624 0.3624 0.3624
Ga 0.6376 0.6376 0.6376